Entry 1:
A relaxed structure of NaV2Cl8, computed with PBE-GGA.

Output
Formation energy from raw total energies   -1341 kJ/mol of formula units
VASP energy   -48.2 eV per formula unit

Lattice parameters (Å, degrees): 6.530 7.925 7.925 73.16 82.83 82.83
Site moments in Bohr magnetons follow the coordinates.
Positions (direct):
Cl  0.233  0.301  0.934  -0.01
Cl  0.321  0.815  0.815  -0.01
V  0.661  0.799  0.799  1.40
Na  0.000  0.000  0.000  0.00
Cl  0.679  0.185  0.185  -0.01
Cl  0.767  0.066  0.699  -0.01
Cl  0.767  0.699  0.066  -0.01
Cl  0.200  0.366  0.366  -0.01
Cl  0.233  0.934  0.301  -0.01
Cl  0.800  0.634  0.634  -0.01
V  0.339  0.201  0.201  1.40

***

Entry 2:
A relaxed structure of PmPrY2, computed with PBE-GGA.

Output
VASP energy   -22.4 eV per formula unit
DFT formation energy   0.43 kcal/mol of atoms

Lattice parameters (Å, degrees): 5.084 5.150 5.150 90.00 90.00 90.00
Positions (direct):
Pr  0.500  0.000  0.000
Y  0.000  0.500  0.000
Pm  0.500  0.500  0.500
Y  0.000  0.000  0.500

***

Entry 3:
A relaxed structure of CeZrGe, computed with PBE-GGA.

Output
VASP energy   -19.9 eV per formula unit
DFT formation energy   -6.30 kcal/mol of atoms

Lattice parameters (Å, degrees): 3.880 4.681 4.681 120.00 90.00 90.00
Site moments in Bohr magnetons follow the coordinates.
Positions (direct):
Ce  0.666  0.667  0.333  0.72
Zr  0.166  0.000  0.000  0.31
Ge  0.167  0.333  0.667  -0.02

***

Entry 4:
A relaxed structure of LaY2Sc, computed with PBE-GGA.

Output
VASP energy   -23.6 eV per formula unit
DFT formation energy   3.41 kcal/mol of atoms

Lattice parameters (Å, degrees): 5.643 5.643 5.643 60.00 60.00 60.00
Positions (direct):
Sc  0.000  0.000  0.000
Y  0.750  0.750  0.750
La  0.500  0.500  0.500
Y  0.250  0.250  0.250

***

Entry 5:
A relaxed structure of Mg4Ga2Au, computed with PBE-GGA.

Output
VASP energy   -17.3 eV per formula unit
DFT formation energy   -5.31 kcal/mol of atoms

Lattice parameters (Å, degrees): 4.611 5.744 5.744 109.12 90.00 90.00
Positions (direct):
Mg  0.500  0.500  0.000
Au  0.500  0.500  0.500
Ga  0.000  0.752  0.248
Mg  0.000  0.754  0.754
Ga  0.000  0.248  0.752
Mg  0.500  0.000  0.500
Mg  0.000  0.246  0.246

***

Entry 6:
A relaxed structure of NaNbRe3, computed with PBE-GGA.

Output
VASP energy   -37.6 eV per formula unit
DFT formation energy   51.14 kcal/mol of atoms

Lattice parameters (Å, degrees): 4.841 4.841 4.841 90.00 90.00 90.00
Site moments in Bohr magnetons follow the coordinates.
Positions (direct):
Re  0.500  0.000  0.000  1.05
Na  0.500  0.500  0.500  0.00
Nb  0.000  0.000  0.000  -0.11
Re  0.000  0.000  0.500  0.87
Re  0.000  0.500  0.000  0.88

***

Entry 7:
A relaxed structure of NaSrZn2Pd, computed with PBE-GGA.

Output
VASP energy   -11.5 eV per formula unit
DFT formation energy   -3.66 kcal/mol of atoms

Lattice parameters (Å, degrees): 4.963 4.963 5.203 90.00 90.00 90.00
Positions (direct):
Pd  0.000  0.000  0.000
Zn  0.000  0.500  0.000
Na  0.000  0.000  0.500
Zn  0.500  0.000  0.000
Sr  0.500  0.500  0.500

***

Entry 8:
A relaxed structure of HoTiAu, computed with PBE-GGA.

Output
VASP energy   -15.7 eV per formula unit
DFT formation energy   0.32 kcal/mol of atoms

Lattice parameters (Å, degrees): 4.747 5.576 5.822 80.01 65.94 64.81
Positions (direct):
Ho  0.141  0.719  0.000
Ti  0.250  0.500  0.500
Ti  0.750  0.500  0.500
Au  0.660  0.000  0.681
Ho  0.859  0.281  0.000
Au  0.340  0.000  0.319